[1]
Tm4CoBi2 | PBE-GGA | optimized geometry

a b c (Å): 8.828 8.828 8.828
angles (deg): 147.56 147.56 46.53
Element x y z (fractional)
Tm 0.000 0.500 0.500
Tm 0.164 0.164 0.000
Tm 0.500 0.000 0.500
Tm 0.836 0.836 0.000
Co 0.000 0.000 0.000
Bi 0.357 0.357 0.000
Bi 0.643 0.643 0.000

Calculated values
Total moment in μB per atom: 0.000
Distance to the lowest polymorph of the same formula in eV per atom: 0.027
N(E_F) in states/eV/f.u.: 6.20



[2]
Tm12Co2Bi5 | PBE-GGA | optimized geometry

a b c (Å): 9.669 9.669 9.306
angles (deg): 106.13 106.13 45.46
Element x y z (fractional)
Tm 0.001 0.001 0.281
Tm 0.095 0.606 0.419
Tm 0.099 0.631 0.961
Tm 0.369 0.901 0.039
Tm 0.394 0.905 0.581
Tm 0.498 0.498 0.330
Tm 0.502 0.502 0.670
Tm 0.606 0.095 0.419
Tm 0.631 0.099 0.961
Tm 0.901 0.369 0.039
Tm 0.905 0.394 0.581
Tm 0.999 0.999 0.719
Co 0.216 0.784 0.500
Co 0.784 0.216 0.500
Bi 0.197 0.197 0.333
Bi 0.225 0.225 0.868
Bi 0.500 0.500 0.000
Bi 0.775 0.775 0.132
Bi 0.803 0.803 0.667

Calculated values
Total DFT energy (no corrections) in eV/atom: -4.928
Total moment in μB per atom: 0.000
N(E_F) in states/eV/f.u.: 14.70



[3]
Tm2CoBi | PBE-GGA | optimized geometry

a b c (Å): 6.170 4.018 8.211
angles (deg): 90.00 110.03 90.00
Element x y z (fractional)
Tm 0.154 0.250 0.384
Tm 0.234 0.750 0.042
Tm 0.766 0.250 0.958
Tm 0.846 0.750 0.616
Co 0.120 0.250 0.794
Co 0.880 0.750 0.206
Bi 0.383 0.750 0.707
Bi 0.617 0.250 0.293

Calculated values
Total moment in μB per atom: 0.000
Distance to the lowest polymorph of the same formula in eV per atom: 0.000
N(E_F) in states/eV/f.u.: 1.73



[4]
Tm7Co2Bi2 | PBE-GGA | optimized geometry

a b c (Å): 9.611 9.611 9.611
angles (deg): 158.35 65.50 119.03
Element x y z (fractional)
Tm 0.000 0.000 0.000
Tm 0.048 0.365 0.683
Tm 0.055 0.712 0.343
Tm 0.368 0.712 0.657
Tm 0.421 0.559 0.862
Tm 0.682 0.365 0.317
Tm 0.697 0.559 0.138
Co 0.292 0.054 0.238
Co 0.817 0.054 0.762
Bi 0.325 0.325 0.000
Bi 0.725 0.225 0.500

Calculated values
Total DFT energy (no corrections) in eV/atom: -5.232
Total moment in μB per atom: 0.000
N(E_F) in states/eV/f.u.: 9.74



[5]
Tm4CoBi2 | PBE-GGA | optimized geometry

a b c (Å): 7.829 11.966 4.264
angles (deg): 90.00 90.00 90.00
Element x y z (fractional)
Tm 0.122 0.189 0.000
Tm 0.206 0.941 0.500
Tm 0.294 0.441 0.500
Tm 0.378 0.689 0.000
Tm 0.622 0.311 0.000
Tm 0.706 0.559 0.500
Tm 0.794 0.059 0.500
Tm 0.878 0.811 0.000
Co 0.000 0.000 0.000
Co 0.500 0.500 0.000
Bi 0.080 0.670 0.500
Bi 0.420 0.170 0.500
Bi 0.580 0.830 0.500
Bi 0.920 0.330 0.500

Calculated values
Total moment in μB per atom: 0.000
Distance to the lowest polymorph of the same formula in eV per atom: 0.000
N(E_F) in states/eV/f.u.: 4.78



[6]
Tm6Co2Bi | PBE-GGA | optimized geometry

a b c (Å): 8.324 8.324 8.324
angles (deg): 111.92 109.72 106.82
Element x y z (fractional)
Tm 0.022 0.236 0.786
Tm 0.184 0.286 0.470
Tm 0.184 0.714 0.898
Tm 0.325 0.009 0.684
Tm 0.325 0.641 0.316
Tm 0.450 0.236 0.214
Tm 0.550 0.764 0.786
Tm 0.675 0.359 0.684
Tm 0.675 0.991 0.316
Tm 0.816 0.286 0.102
Tm 0.816 0.714 0.530
Tm 0.978 0.764 0.214
Co 0.113 0.613 0.500
Co 0.345 0.000 0.345
Co 0.655 0.000 0.655
Co 0.887 0.387 0.500
Bi 0.000 0.000 0.000
Bi 0.500 0.500 0.000

Calculated values
Total DFT energy (no corrections) in eV/atom: -5.327
Total moment in μB per atom: 0.000
N(E_F) in states/eV/f.u.: 6.38



[7]
Tm3CoBi | PBE-GGA | optimized geometry

a b c (Å): 5.956 5.956 8.779
angles (deg): 110.53 110.53 66.03
Element x y z (fractional)
Tm 0.012 0.012 0.196
Tm 0.310 0.310 0.700
Tm 0.316 0.316 0.127
Tm 0.684 0.684 0.873
Tm 0.690 0.690 0.300
Tm 0.988 0.988 0.804
Co 0.318 0.682 0.000
Co 0.682 0.318 0.000
Bi 0.260 0.740 0.500
Bi 0.740 0.260 0.500

Calculated values
Total moment in μB per atom: 0.000
Distance to the lowest polymorph of the same formula in eV per atom: 0.015
N(E_F) in states/eV/f.u.: 4.82



[8]
V2Co2Bi | PBE-GGA | optimized geometry

a b c (Å): 7.040 7.040 2.970
angles (deg): 90.00 90.00 90.00
Element x y z (fractional)
V 0.152 0.348 0.000
V 0.348 0.848 0.000
V 0.652 0.152 0.000
V 0.848 0.652 0.000
Co 0.126 0.626 0.500
Co 0.374 0.126 0.500
Co 0.626 0.874 0.500
Co 0.874 0.374 0.500
Bi 0.000 0.000 0.500
Bi 0.500 0.500 0.500

Calculated values
Total moment in μB per atom: 0.002
Distance to the lowest polymorph of the same formula in eV per atom: 0.000
N(E_F) in states/eV/f.u.: 6.09



- What is the total moment in the second record?
  0.000 μB per atom



Please write out number 6 again, unchanged.
Tm6Co2Bi | PBE-GGA | optimized geometry

a b c (Å): 8.324 8.324 8.324
angles (deg): 111.92 109.72 106.82
Element x y z (fractional)
Tm 0.022 0.236 0.786
Tm 0.184 0.286 0.470
Tm 0.184 0.714 0.898
Tm 0.325 0.009 0.684
Tm 0.325 0.641 0.316
Tm 0.450 0.236 0.214
Tm 0.550 0.764 0.786
Tm 0.675 0.359 0.684
Tm 0.675 0.991 0.316
Tm 0.816 0.286 0.102
Tm 0.816 0.714 0.530
Tm 0.978 0.764 0.214
Co 0.113 0.613 0.500
Co 0.345 0.000 0.345
Co 0.655 0.000 0.655
Co 0.887 0.387 0.500
Bi 0.000 0.000 0.000
Bi 0.500 0.500 0.000

Calculated values
Total DFT energy (no corrections) in eV/atom: -5.327
Total moment in μB per atom: 0.000
N(E_F) in states/eV/f.u.: 6.38



Please write out number 5 again, unchanged.
Tm4CoBi2 | PBE-GGA | optimized geometry

a b c (Å): 7.829 11.966 4.264
angles (deg): 90.00 90.00 90.00
Element x y z (fractional)
Tm 0.122 0.189 0.000
Tm 0.206 0.941 0.500
Tm 0.294 0.441 0.500
Tm 0.378 0.689 0.000
Tm 0.622 0.311 0.000
Tm 0.706 0.559 0.500
Tm 0.794 0.059 0.500
Tm 0.878 0.811 0.000
Co 0.000 0.000 0.000
Co 0.500 0.500 0.000
Bi 0.080 0.670 0.500
Bi 0.420 0.170 0.500
Bi 0.580 0.830 0.500
Bi 0.920 0.330 0.500

Calculated values
Total moment in μB per atom: 0.000
Distance to the lowest polymorph of the same formula in eV per atom: 0.000
N(E_F) in states/eV/f.u.: 4.78



- Among the records above, which one has the highest N(E_F)?
  Tm12Co2Bi5